Computed, not measured: a relaxed structure of TbPm2Nd3Te6 at the GGA-PBE level of DFT.

Cell and atoms, written as POSCAR:
```
TbPm2Nd3Te6
1.0
-1.954 -3.150 -2.446
-1.742 -4.708 7.454
-6.896 7.216 0.249
Tb Pm Nd Te
1 2 3 6
direct
0.500 0.000 0.000
0.832 0.665 0.664
0.168 0.335 0.336
0.500 0.500 0.000
0.830 0.166 0.661
0.170 0.834 0.339
0.337 0.917 0.675
0.666 0.582 0.333
0.663 0.083 0.325
0.000 0.243 0.000
0.000 0.757 0.000
0.334 0.418 0.667
```

Output
Space-group type: C2/m, No. 12
Formation energy without anion corrections in eV/atom: -1.400
Size of the total moment in μB/cell: 0.0
VASP energy in eV/atom: -5.341
V in Å³/f.u.: 378.14